[1]
! Pr2Hg2O5, relaxed, DFT GGA-PBE; values from VASP
&SYSTEM
  ibrav = 0, nat = 9, ntyp = 3
/
ATOMIC_SPECIES
Hg 200.59 Hg.upf
O 16.00 O.upf
Pr 140.91 Pr.upf
ATOMIC_POSITIONS angstrom
Hg -2.4363 -1.8068 -1.4807
Hg -2.7121 -1.3113 -5.8939
O -0.2935 -1.9690 -1.7933
O -0.5496 -1.5090 -5.8908
O -2.2504 0.3556 -1.4101
O -2.5065 0.8156 -5.5075
O -2.5742 -1.5591 -3.6873
Pr 0.0000 0.0000 0.0000
Pr -0.2258 0.4057 -3.6135
CELL_PARAMETERS angstrom
-0.4516 0.8113 -7.2270
-0.3914 -4.2893 -0.4571
-4.3052 0.3599 0.3095
! total magnetization	0.00	μB per cell
! E	-47.08	eV/cell

=====

[2]
! Pr3HgO, relaxed, DFT GGA-PBE; values from VASP
&SYSTEM
  ibrav = 0, nat = 10, ntyp = 3
/
ATOMIC_SPECIES
Hg 200.59 Hg.upf
O 16.00 O.upf
Pr 140.91 Pr.upf
ATOMIC_POSITIONS angstrom
Hg -0.1207 -3.1858 2.9148
Hg -2.5073 -3.2126 -1.4678
O 0.0000 0.0000 0.0000
O 1.5045 -4.6987 -0.7906
Pr 2.6600 -4.5726 1.4245
Pr -4.8420 0.6905 2.4711
Pr -2.0297 -0.9638 1.0996
Pr -0.5982 -5.4346 0.3473
Pr 2.2140 -7.0889 -1.0241
Pr 0.3489 -4.8248 -3.0058
CELL_PARAMETERS angstrom
3.8886 -4.6743 3.6013
-5.6370 2.9990 3.0282
-0.8796 -4.7230 -5.1825
! total magnetization	0.00	μB per cell
! E	-52.34	eV/cell

=====

[3]
! Pr2Hg2O5, relaxed, DFT GGA-PBE; values from VASP
&SYSTEM
  ibrav = 0, nat = 9, ntyp = 3
/
ATOMIC_SPECIES
Hg 200.59 Hg.upf
O 16.00 O.upf
Pr 140.91 Pr.upf
ATOMIC_POSITIONS angstrom
Hg 0.0000 0.0000 0.0000
Hg 4.6115 0.0000 0.0000
O 1.3759 2.1037 0.0000
O 7.8470 2.1037 0.0000
O 1.3759 0.0000 2.1037
O 7.8470 0.0000 2.1037
O 4.6115 2.1037 2.1037
Pr 2.3051 2.1037 2.1037
Pr 6.9178 2.1037 2.1037
CELL_PARAMETERS angstrom
9.2229 0.0000 0.0000
0.0000 4.2074 0.0000
0.0000 0.0000 4.2074
! total magnetization	1.34	μB per cell
! E	-48.76	eV/cell

=====

[4]
! Pr2HgO4, relaxed, DFT GGA-PBE; values from VASP
&SYSTEM
  ibrav = 0, nat = 14, ntyp = 3
/
ATOMIC_SPECIES
Hg 200.59 Hg.upf
O 16.00 O.upf
Pr 140.91 Pr.upf
ATOMIC_POSITIONS angstrom
Hg 10.5508 0.0000 3.0016
Hg -2.0002 0.0000 5.8314
O 2.6187 0.0000 1.0097
O 7.2890 0.0000 1.3532
O 12.2715 0.0000 1.9619
O 8.7566 0.0000 3.9199
O -0.2060 0.0000 4.9131
O -3.7209 0.0000 6.8711
O 1.2616 0.0000 7.4798
O 5.9319 0.0000 7.8233
Pr 5.0902 0.0000 0.3634
Pr 0.6211 0.0000 2.6518
Pr 7.9295 0.0000 6.1811
Pr 3.4604 0.0000 8.4696
CELL_PARAMETERS angstrom
6.9879 -1.9097 0.0000
6.9879 1.9097 0.0000
-5.4251 0.0000 8.8330
! total magnetization	0.00	μB per cell
! E	-94.39	eV/cell

=====

[5]
! Pr3HgO, relaxed, DFT GGA-PBE; values from VASP
&SYSTEM
  ibrav = 0, nat = 5, ntyp = 3
/
ATOMIC_SPECIES
Hg 200.59 Hg.upf
O 16.00 O.upf
Pr 140.91 Pr.upf
ATOMIC_POSITIONS angstrom
Hg 0.0000 0.0000 0.0000
O -3.4915 -1.9917 -1.5991
Pr -2.8880 0.3996 -1.9940
Pr -2.9704 -1.7223 0.8286
Pr -1.1245 -2.6607 -2.0329
CELL_PARAMETERS angstrom
-4.7340 1.3379 0.8676
-1.0421 -0.5388 -4.8556
-1.2069 -4.7826 0.7897
! total magnetization	0.02	μB per cell
! E	-26.16	eV/cell

=====

[6]
! Pr2HgO4, relaxed, DFT GGA-PBE; values from VASP
&SYSTEM
  ibrav = 0, nat = 14, ntyp = 3
/
ATOMIC_SPECIES
Hg 200.59 Hg.upf
O 16.00 O.upf
Pr 140.91 Pr.upf
ATOMIC_POSITIONS angstrom
Hg 0.0000 0.0000 0.0000
Hg -2.9398 -2.7862 -1.5688
O 1.8938 -3.7140 0.4933
O -3.8748 -1.5926 0.2528
O -1.0317 -3.9833 -0.8321
O -0.6306 -1.5240 1.7020
O -5.1799 -1.8680 3.1868
O 0.4330 -3.7893 3.7321
O -1.9357 -1.7993 4.6360
O -2.4925 -4.0586 2.4067
Pr 1.1360 -3.5834 -1.7788
Pr -0.2994 -3.8863 1.4500
Pr -6.1239 -1.9922 0.9852
Pr -2.9052 -1.6960 2.4444
CELL_PARAMETERS angstrom
-6.4374 -0.5925 -2.9183
5.2118 -4.3806 -1.9888
-2.8707 -0.6058 6.4576
! total magnetization	0.00	μB per cell
! E	-91.47	eV/cell

=====

[7]
! RbPrHgO3, relaxed, DFT GGA-PBE; values from VASP
&SYSTEM
  ibrav = 0, nat = 12, ntyp = 4
/
ATOMIC_SPECIES
Hg 200.59 Hg.upf
O 16.00 O.upf
Pr 140.91 Pr.upf
Rb 85.47 Rb.upf
ATOMIC_POSITIONS angstrom
Hg 1.9093 -1.5049 2.3265
Hg 1.9093 1.5049 6.9794
O 1.9093 -1.5385 0.2828
O 1.9093 -6.5523 2.3265
O 1.9093 -1.5385 4.3701
O 1.9093 1.5385 4.9357
O 1.9093 6.5523 6.9794
O 1.9093 1.5385 9.0230
Pr 0.0000 0.0000 0.0000
Pr 0.0000 0.0000 4.6529
Rb 1.9093 2.5423 2.3265
Rb 1.9093 -2.5423 6.9794
CELL_PARAMETERS angstrom
1.9093 -6.9935 0.0000
1.9093 6.9935 0.0000
0.0000 0.0000 9.3058
! total magnetization	0.00	μB per cell
! E	-63.15	eV/cell

=====

[8]
! PrHgSO, relaxed, DFT GGA-PBE; values from VASP
&SYSTEM
  ibrav = 0, nat = 8, ntyp = 4
/
ATOMIC_SPECIES
Hg 200.59 Hg.upf
O 16.00 O.upf
Pr 140.91 Pr.upf
S 32.06 S.upf
ATOMIC_POSITIONS angstrom
Hg 0.0000 2.7892 0.6651
Hg 0.0000 6.1330 3.1917
O 2.4860 0.8794 0.6729
O 2.4860 8.0428 3.1995
Pr 2.4860 7.6129 0.4646
Pr 2.4860 1.3094 2.9912
S 0.0000 6.2012 0.6786
S 0.0000 2.7211 3.2053
CELL_PARAMETERS angstrom
4.9720 0.0000 0.0000
0.0000 8.9223 0.0000
0.0000 0.0000 5.0533
! total magnetization	0.00	μB per cell
! E	-40.78	eV/cell

=====

[9]
! PrHgSO, relaxed, DFT GGA-PBE; values from VASP
&SYSTEM
  ibrav = 0, nat = 16, ntyp = 4
/
ATOMIC_SPECIES
Hg 200.59 Hg.upf
O 16.00 O.upf
Pr 140.91 Pr.upf
S 32.06 S.upf
ATOMIC_POSITIONS angstrom
Hg -0.9298 -2.5622 0.8766
Hg 0.0610 -7.6872 6.8890
Hg -2.3194 -0.1365 2.2466
Hg -1.3287 -5.2614 8.2590
O -4.1817 -6.7292 1.0672
O 0.9704 -5.0725 7.4263
O -4.3144 -2.1216 2.4247
O 0.8377 -0.4650 8.7839
Pr -2.7671 -7.0813 2.6600
Pr 0.5909 -4.4117 5.4061
Pr -3.2924 -3.1551 4.0215
Pr 0.0657 -0.4855 6.7675
S -1.1595 -4.8127 3.1299
S 1.7248 -1.8756 4.9218
S -4.4462 -5.6796 4.5188
S -1.5619 -2.7425 6.3107
CELL_PARAMETERS angstrom
-3.9695 -6.8899 0.0394
3.8248 -2.1595 7.7030
-4.1784 2.4231 2.7540
! total magnetization	0.00	μB per cell
! E	-77.60	eV/cell

=====

[10]
! PrHgSO, relaxed, DFT GGA-PBE; values from VASP
&SYSTEM
  ibrav = 0, nat = 16, ntyp = 4
/
ATOMIC_SPECIES
Hg 200.59 Hg.upf
O 16.00 O.upf
Pr 140.91 Pr.upf
S 32.06 S.upf
ATOMIC_POSITIONS angstrom
Hg 7.0324 4.8346 0.2730
Hg 0.5316 1.0217 3.3551
Hg 6.7523 6.5983 3.7534
Hg 0.2516 2.7854 6.8353
O 4.7202 2.8769 0.8670
O 2.8386 6.6798 2.7603
O 4.4450 0.9403 4.3482
O 2.5634 4.7428 6.2417
Pr 3.5721 4.8514 1.4912
Pr 3.9934 1.0467 2.1370
Pr 3.2904 6.5734 4.9714
Pr 3.7116 2.7687 5.6172
S 5.6192 6.7923 0.5706
S 1.9411 2.9837 3.0576
S 5.3427 4.6363 4.0508
S 1.6645 0.8276 6.5379
CELL_PARAMETERS angstrom
7.8503 0.0108 0.1474
-0.0105 7.6094 -0.0012
-0.5560 -0.0002 6.9622
! total magnetization	0.00	μB per cell
! E	-83.96	eV/cell

=====

[11]
! PrHgSO, relaxed, DFT GGA-PBE; values from VASP
&SYSTEM
  ibrav = 0, nat = 16, ntyp = 4
/
ATOMIC_SPECIES
Hg 200.59 Hg.upf
O 16.00 O.upf
Pr 140.91 Pr.upf
S 32.06 S.upf
ATOMIC_POSITIONS angstrom
Hg 0.6462 3.0753 2.7769
Hg -3.0674 5.7931 2.1506
Hg -0.7539 4.8766 4.8229
Hg -4.3171 6.8821 7.0252
O -1.4022 0.0626 0.5503
O -4.1785 -0.3004 3.6324
O -4.3091 0.4126 0.7949
O 0.4812 10.2886 6.0531
Pr -2.6293 1.0036 2.3703
Pr 0.4123 -0.0443 4.9721
Pr -4.0890 10.0290 4.7217
Pr -1.0476 8.9816 7.3211
S -3.4301 2.7724 4.6262
S -1.1466 3.3039 1.2006
S -2.6968 7.4702 5.3580
S -0.3721 7.8071 2.7055
CELL_PARAMETERS angstrom
-5.7774 0.6941 0.4818
0.3016 -1.4292 5.6761
1.7526 10.9400 2.6615
! total magnetization	0.00	μB per cell
! E	-85.21	eV/cell

=====

[12]
! PrHgSO, relaxed, DFT GGA-PBE; values from VASP
&SYSTEM
  ibrav = 0, nat = 8, ntyp = 4
/
ATOMIC_SPECIES
Hg 200.59 Hg.upf
O 16.00 O.upf
Pr 140.91 Pr.upf
S 32.06 S.upf
ATOMIC_POSITIONS angstrom
Hg 3.0489 1.0163 4.9977
Hg 1.0163 3.0489 4.9977
O 3.0489 1.0163 0.0000
O 1.0163 3.0489 0.0000
Pr 1.0163 1.0163 1.2065
Pr 3.0489 3.0489 8.7889
S 3.0489 3.0489 2.7018
S 1.0163 1.0163 7.2935
CELL_PARAMETERS angstrom
4.0653 0.0000 0.0000
0.0000 4.0653 0.0000
0.0000 0.0000 9.9954
! total magnetization	0.71	μB per cell
! E	-41.77	eV/cell

=====

[13]
! PrTlHgO3, relaxed, DFT GGA-PBE; values from VASP
&SYSTEM
  ibrav = 0, nat = 12, ntyp = 4
/
ATOMIC_SPECIES
Hg 200.59 Hg.upf
O 16.00 O.upf
Pr 140.91 Pr.upf
Tl 204.38 Tl.upf
ATOMIC_POSITIONS angstrom
Hg -7.5159 4.7414 0.7106
Hg -3.4479 5.9568 4.8564
O -7.4587 3.4028 -0.8552
O -11.3024 6.3805 0.1705
O -6.8887 5.7838 2.3741
O -4.0752 4.9144 3.1929
O 0.3386 4.3178 5.3965
O -3.5052 7.2954 6.4222
Pr 0.0000 0.0000 0.0000
Pr 0.6456 2.6968 3.6576
Tl -3.6967 3.0883 1.2554
Tl -7.2671 7.6099 4.3116
CELL_PARAMETERS angstrom
-5.3942 3.9809 -1.9830
-6.8608 1.3238 0.2349
1.2911 5.3935 7.3152
! total magnetization	0.00	μB per cell
! E	-63.46	eV/cell

=====

[14]
! HgPt2O4, relaxed, DFT GGA-PBE; values from VASP
&SYSTEM
  ibrav = 0, nat = 14, ntyp = 3
/
ATOMIC_SPECIES
Hg 200.59 Hg.upf
O 16.00 O.upf
Pt 195.08 Pt.upf
ATOMIC_POSITIONS angstrom
Hg 0.0000 0.0000 0.0000
Hg 2.3107 -2.3113 -2.3113
O -0.9237 0.9234 -3.6992
O 3.6976 -0.9234 -0.9234
O 0.9237 -0.9234 -3.6992
O 1.3870 1.3879 -1.3879
O 5.5451 0.9234 -0.9234
O 1.3870 3.2346 -3.2346
O 3.2344 3.2346 -1.3879
O 3.2344 1.3879 -3.2346
Pt -1.1553 -1.1556 -3.4669
Pt 5.7767 -1.1556 -1.1556
Pt 1.1553 1.1556 -3.4669
Pt 3.4660 1.1556 -1.1556
CELL_PARAMETERS angstrom
4.6214 -4.6225 0.0000
-4.6214 0.0000 -4.6225
4.6214 4.6225 0.0000
! total magnetization	0.01	μB per cell
! E	-68.14	eV/cell

=====

[15]
! HgPtO3, relaxed, DFT GGA-PBE; values from VASP
&SYSTEM
  ibrav = 0, nat = 5, ntyp = 3
/
ATOMIC_SPECIES
Hg 200.59 Hg.upf
O 16.00 O.upf
Pt 195.08 Pt.upf
ATOMIC_POSITIONS angstrom
Hg -0.0104 0.0115 0.0083
O -1.1714 -1.8396 1.7445
O -3.0674 0.4808 1.1188
O -1.0591 0.9615 2.9743
Pt -2.3315 -0.5513 2.6665
CELL_PARAMETERS angstrom
-3.0001 -2.5198 -0.2537
1.0167 -1.5585 3.4571
-2.4551 2.7266 1.9512
! total magnetization	0.00	μB per cell
! E	-21.25	eV/cell

=====

[16]
! HgPtO3, relaxed, DFT GGA-PBE; values from VASP
&SYSTEM
  ibrav = 0, nat = 20, ntyp = 3
/
ATOMIC_SPECIES
Hg 200.59 Hg.upf
O 16.00 O.upf
Pt 195.08 Pt.upf
ATOMIC_POSITIONS angstrom
Hg 5.4785 0.1419 1.9617
Hg 2.8131 2.9419 1.9617
Hg 2.7146 2.6580 5.8850
Hg 0.0492 5.4580 5.8850
O 4.0132 1.5235 0.5526
O 4.2785 4.3234 0.5526
O 0.6181 2.4795 1.9617
O 2.1458 5.2794 1.9617
O 4.0132 1.5235 3.3707
O 4.2785 4.3234 3.3707
O 1.2493 1.2764 4.4760
O 1.5146 4.0764 4.4760
O 3.3820 0.3204 5.8850
O 4.9096 3.1204 5.8850
O 1.2493 1.2764 7.2941
O 1.5146 4.0764 7.2941
Pt 2.7639 0.0000 0.0000
Pt 0.0000 2.7999 0.0000
Pt 2.7639 0.0000 3.9234
Pt 0.0000 2.7999 3.9234
CELL_PARAMETERS angstrom
5.5278 0.0000 0.0000
0.0000 5.5999 0.0000
0.0000 0.0000 7.8467
! total magnetization	0.02	μB per cell
! E	-90.06	eV/cell

=====

[17]
! HgPtO3, relaxed, DFT GGA-PBE; values from VASP
&SYSTEM
  ibrav = 0, nat = 10, ntyp = 3
/
ATOMIC_SPECIES
Hg 200.59 Hg.upf
O 16.00 O.upf
Pt 195.08 Pt.upf
ATOMIC_POSITIONS angstrom
Hg 2.5617 -0.1959 -2.0325
Hg 7.6852 -0.5877 -6.0976
O 3.3696 -1.3849 -4.4198
O 5.0121 0.1963 -6.0221
O 4.2043 1.3854 -3.6348
O 6.0426 -2.1689 -4.4953
O 5.2348 -0.9799 -2.1080
O 6.8773 0.6014 -3.7103
Pt 0.0000 0.0000 0.0000
Pt 5.1234 -0.3918 -4.0651
CELL_PARAMETERS angstrom
2.2159 -3.0107 -3.9571
2.6027 2.6027 -4.0107
5.4283 -0.3755 -0.1624
! total magnetization	0.00	μB per cell
! E	-44.75	eV/cell

=====

[18]
! HgPtO3, relaxed, DFT GGA-PBE; values from VASP
&SYSTEM
  ibrav = 0, nat = 10, ntyp = 3
/
ATOMIC_SPECIES
Hg 200.59 Hg.upf
O 16.00 O.upf
Pt 195.08 Pt.upf
ATOMIC_POSITIONS angstrom
Hg 1.3104 -6.0840 1.2292
Hg -1.5235 -7.5476 -1.0580
O 1.8811 -8.0714 0.3387
O -0.6088 -6.4095 2.3602
O 0.8220 -4.7197 -0.4939
O -1.0351 -8.9119 0.6650
O 0.3957 -7.2221 -2.1891
O -2.0943 -5.5602 -0.1675
Pt 0.8196 -9.7178 0.9188
Pt -1.0327 -3.9137 -0.7477
CELL_PARAMETERS angstrom
3.0449 -4.4470 -0.9269
-0.4225 -4.3397 3.3007
-2.8354 -4.8448 -2.2027
! total magnetization	0.01	μB per cell
! E	-46.00	eV/cell

=====

[19]
! Hg2PtO3, relaxed, DFT GGA-PBE; values from VASP
&SYSTEM
  ibrav = 0, nat = 12, ntyp = 3
/
ATOMIC_SPECIES
Hg 200.59 Hg.upf
O 16.00 O.upf
Pt 195.08 Pt.upf
ATOMIC_POSITIONS angstrom
Hg -0.4421 6.1281 3.9412
Hg -2.4749 9.2728 5.2759
Hg 2.7715 1.0992 4.0359
Hg 0.7387 4.2438 5.3705
O -2.8387 6.9498 4.2750
O 0.4871 1.7291 4.9924
O 1.8143 2.6753 0.9528
O 0.4986 4.7106 1.8167
O -0.2037 5.6603 7.4951
O -1.5194 7.6956 8.3589
Pt -0.1700 2.8482 1.3547
Pt -2.1852 5.8283 7.9127
CELL_PARAMETERS angstrom
-5.7169 8.8436 3.7535
0.9861 -1.6859 5.4741
2.6487 1.6934 0.0444
! total magnetization	0.01	μB per cell
! E	-44.92	eV/cell

=====

[20]
! HgPtO3, relaxed, DFT GGA-PBE; values from VASP
&SYSTEM
  ibrav = 0, nat = 10, ntyp = 3
/
ATOMIC_SPECIES
Hg 200.59 Hg.upf
O 16.00 O.upf
Pt 195.08 Pt.upf
ATOMIC_POSITIONS angstrom
Hg 3.6776 3.6395 3.6905
Hg 1.6716 2.1890 5.1945
O 2.0771 2.9364 0.8581
O 3.7436 0.6549 1.3940
O 1.7638 0.7787 3.1653
O 3.5854 5.0498 5.7198
O 1.6056 5.1736 7.4911
O 3.2721 2.8921 8.0270
Pt 1.7887 0.9759 1.1858
Pt 3.5605 4.8526 7.6993
CELL_PARAMETERS angstrom
3.8704 0.0000 0.0000
0.0115 4.0023 0.0000
1.4673 1.8262 8.8851
! total magnetization	0.23	μB per cell
! E	-43.71	eV/cell

=====

| no. | ρ (Mg/m³) |
| --- | --- |
| 1 | 9.3 |
| 2 | 8.5 |
| 3 | 7.8 |
| 4 | 7.7 |
| 5 | 8.5 |
| 6 | 7.2 |
| 7 | 6.3 |
| 8 | 5.8 |
| 9 | 6.6 |
| 10 | 6.2 |
| 11 | 6.6 |
| 12 | 7.8 |
| 13 | 8.5 |
| 14 | 11.0 |
| 15 | 11.5 |
| 16 | 12.1 |
| 17 | 12.3 |
| 18 | 11.1 |
| 19 | 10.5 |
| 20 | 10.7 |